DFT (PBE) results for crystalline Mn2NiRh2 at its relaxed geometry.

Calculated formation energy   297 meV per atom
Distance to the lowest polymorph of the same formula   0.317 eV per formula unit

Cell lengths 7.092, 7.092, 2.614 Å; angles 90.00, 90.00, 90.00 degrees
Sites, in units of the cell vectors:
1 Rh 0.370 0.870 0.000
2 Mn 0.832 0.332 0.500
3 Ni 0.500 0.500 0.000
4 Mn 0.168 0.668 0.500
5 Rh 0.130 0.370 0.000
6 Ni 0.000 0.000 0.000
7 Rh 0.630 0.130 0.000
8 Mn 0.668 0.832 0.500
9 Rh 0.870 0.630 0.000
10 Mn 0.332 0.168 0.500

---

DFT (PBE) results for crystalline MnNiRh2 at its relaxed geometry.

Calculated formation energy   391 meV per atom

Cell lengths 6.587, 6.587, 5.365 Å; angles 52.12, 52.12, 90.00 degrees
Sites, in units of the cell vectors:
1 Mn 0.500 0.500 0.000
2 Ni 0.750 0.250 0.500
3 Rh 0.375 0.377 0.750
4 Rh 0.127 0.625 0.250
5 Rh 0.875 0.873 0.750
6 Rh 0.623 0.125 0.250
7 Ni 0.000 0.000 0.000
8 Mn 0.250 0.750 0.500

---

DFT (PBE) results for crystalline MnNiRh2 at its relaxed geometry.

Calculated formation energy   -46 meV per atom

Cell lengths 2.714, 4.618, 5.272 Å; angles 53.67, 90.00, 90.00 degrees
Sites, in units of the cell vectors:
1 Ni 0.000 0.000 0.500
2 Rh 0.500 0.500 0.000
3 Rh 0.000 0.000 0.000
4 Mn 0.500 0.500 0.500

---

DFT (PBE) results for crystalline MnNiRh2 at its relaxed geometry.

Calculated formation energy   118 meV per atom

Cell lengths 4.254, 4.254, 4.254 Å; angles 60.00, 60.00, 60.00 degrees
Sites, in units of the cell vectors:
1 Mn 0.500 0.500 0.500
2 Rh 0.000 0.000 0.000
3 Ni 0.750 0.750 0.750
4 Rh 0.250 0.250 0.250

---

DFT (PBE) results for crystalline MnNi23Rh6 at its relaxed geometry.

Calculated formation energy   120 meV per atom

Cell lengths 7.976, 7.976, 7.976 Å; angles 60.00, 60.00, 60.00 degrees
Sites, in units of the cell vectors:
1 Mn 0.500 0.500 0.500
2 Rh 0.726 0.274 0.726
3 Ni 0.500 0.000 0.500
4 Rh 0.726 0.274 0.274
5 Ni 0.000 0.000 0.500
6 Ni 0.000 0.500 0.500
7 Ni 0.122 0.122 0.122
8 Rh 0.726 0.726 0.274
9 Ni 0.500 0.500 0.000
10 Ni 0.336 0.336 0.992
11 Rh 0.274 0.274 0.726
12 Ni 0.664 0.664 0.664
13 Rh 0.274 0.726 0.274
14 Ni 0.336 0.336 0.336
15 Ni 0.008 0.664 0.664
16 Ni 0.122 0.122 0.635
17 Ni 0.336 0.992 0.336
18 Ni 0.992 0.336 0.336
19 Ni 0.122 0.635 0.122
20 Ni 0.664 0.664 0.008
21 Rh 0.274 0.726 0.726
22 Ni 0.365 0.878 0.878
23 Ni 0.878 0.365 0.878
24 Ni 0.000 0.000 0.000
25 Ni 0.878 0.878 0.878
26 Ni 0.635 0.122 0.122
27 Ni 0.500 0.000 0.000
28 Ni 0.878 0.878 0.365
29 Ni 0.000 0.500 0.000
30 Ni 0.664 0.008 0.664

---

DFT (PBE) results for crystalline MnNi3Rh2 at its relaxed geometry.

Calculated formation energy   195 meV per atom

Cell lengths 8.065, 8.065, 7.637 Å; angles 121.87, 121.87, 90.00 degrees
Sites, in units of the cell vectors:
1 Ni 0.970 0.470 0.500
2 Ni 0.720 0.720 0.000
3 Rh 0.931 0.106 0.212
4 Ni 0.720 0.280 0.000
5 Rh 0.894 0.069 0.788
6 Ni 0.970 0.030 0.500
7 Mn 0.655 0.655 0.310
8 Rh 0.281 0.106 0.212
9 Ni 0.280 0.720 0.000
10 Mn 0.345 0.345 0.690
11 Ni 0.125 0.375 0.250
12 Ni 0.280 0.280 0.000
13 Rh 0.894 0.719 0.788
14 Mn 0.595 0.095 0.190
15 Rh 0.356 0.031 0.712
16 Ni 0.530 0.470 0.500
17 Ni 0.625 0.875 0.750
18 Ni 0.530 0.030 0.500
19 Ni 0.125 0.875 0.250
20 Mn 0.905 0.405 0.810
21 Rh 0.319 0.644 0.288
22 Ni 0.125 0.875 0.750
23 Rh 0.356 0.681 0.712
24 Rh 0.969 0.644 0.288

---

Number 1: calculated volume 131.46 Å³ per cell. Number 2: calculated volume 115.48 Å³ per cell. Number 3: calculated volume 53.22 Å³ per cell. Number 4: calculated volume 54.45 Å³ per cell. Number 5: calculated volume 358.85 Å³ per cell. Number 6: calculated volume 330.35 Å³ per cell.